(P)
Pr2BiRh | PBE | optimized geometry Values from VASP.

Output
- SG = P2_1/m (11)

Structure (Quantum ESPRESSO input):
```
&SYSTEM
  ibrav = 0, nat = 8, ntyp = 3
/
ATOMIC_SPECIES
Pr 140.91 Pr.upf
Bi 208.98 Bi.upf
Rh 102.91 Rh.upf
ATOMIC_POSITIONS angstrom
Pr -0.1720 1.0902 3.2166
Pr 1.5001 3.2705 0.3738
Pr 1.7956 1.0902 7.7942
Pr 3.4676 3.2705 4.9514
Bi 0.2326 3.2705 5.7475
Bi 3.0630 1.0902 2.4206
Rh -1.7662 1.0902 6.5084
Rh 5.0618 3.2705 1.6596
CELL_PARAMETERS angstrom
6.4639 0.0000 0.0000
0.0000 4.3606 0.0000
-3.1683 0.0000 8.1681
```

***

(Q)
Pr2BiRh | PBE | optimized geometry Values from VASP.

Output
- SG = P4/mmm (123)

Structure (Quantum ESPRESSO input):
```
&SYSTEM
  ibrav = 0, nat = 4, ntyp = 3
/
ATOMIC_SPECIES
Pr 140.91 Pr.upf
Bi 208.98 Bi.upf
Rh 102.91 Rh.upf
ATOMIC_POSITIONS angstrom
Pr 0.0000 0.0000 1.7152
Pr 0.0000 0.0000 6.3927
Bi 1.8335 1.8335 4.0540
Rh 1.8335 1.8335 0.0000
CELL_PARAMETERS angstrom
3.6669 0.0000 0.0000
0.0000 3.6669 0.0000
0.0000 0.0000 8.1079
```

***

(R)
Pr2BiRh | PBE | optimized geometry Values from VASP.

Output
- SG = R-3m (166)

Structure (Quantum ESPRESSO input):
```
&SYSTEM
  ibrav = 0, nat = 4, ntyp = 3
/
ATOMIC_SPECIES
Pr 140.91 Pr.upf
Bi 208.98 Bi.upf
Rh 102.91 Rh.upf
ATOMIC_POSITIONS angstrom
Pr 0.0000 0.0000 5.2189
Pr 0.0000 0.0000 16.7057
Bi 0.0000 0.0000 0.0000
Rh 0.0000 0.0000 10.9623
CELL_PARAMETERS angstrom
2.1868 1.2625 7.3082
-2.1868 1.2625 7.3082
0.0000 -2.5251 7.3082
```

***

Least stable = (R)